Entry from Alexandria via LeMat-Bulk: a geometry-optimized LiCaBr structure (GGA-PBE).

```
LiCaBr
1.0
3.934 0.000 0.000
-1.967 3.407 0.000
0.000 0.000 6.466
Ca Li Br
1 1 1
direct
0.667 0.333 0.308
0.333 0.667 0.721
0.000 0.000 0.972
```

The value obtained for the energy relative to the elements, uncorrected is -878 meV per atom. The value obtained for the energy above the most stable polymorph in this dataset is 0.000 eV/atom. The value obtained for the density of states at the Fermi level is 0.79 states/eV/f.u. Its space group is P3m1 (156). As for the mass density: 2.43 g/cm³.

=====

Entry from Alexandria via LeMat-Bulk: a geometry-optimized PrHo4Mg2 structure (GGA-PBE).

```
PrHo4Mg2
1.0
-1.710 3.035 0.119
-2.972 -1.707 0.830
5.332 2.359 16.454
Ho Pr Mg
4 1 2
direct
0.000 0.648 0.295
0.500 0.076 0.153
0.500 0.924 0.847
0.000 0.352 0.705
0.000 0.500 0.000
0.500 0.787 0.573
0.500 0.213 0.427
```

The value obtained for the energy above the most stable polymorph in this dataset is 0.000 eV/atom. The value obtained for the density of states at the Fermi level is 7.20 states/eV/f.u. Its space group is Cmmm (65). Its energy relative to the elements is 0.3 eV per formula unit. As for the mass density: 6.60 g/cm³.